Entry 1:
A plane-wave DFT calculation with GGA-PBE was carried out for a relaxed structure of ZnSb2Au.

a = 5.051 Å, b = 5.051 Å, c = 5.051 Å
α = 60.00°, β = 60.00°, γ = 60.00°
Sites, in units of the cell vectors:
Au1 0.500 0.500 0.500
Sb1 0.000 0.000 0.000
Sb2 0.250 0.250 0.250
Zn1 0.750 0.750 0.750

Density ... 9.22 Mg/m³
Space group ... No. 216
Energy relative to the elements, uncorrected ... 21.0 kJ per mole of atoms
Magnetic moment ... 0.0 μB/f.u.

---

Entry 2:
A plane-wave DFT calculation with GGA-PBE was carried out for a relaxed structure of Zn2SbAu.

a = 4.320 Å, b = 4.320 Å, c = 5.739 Å
α = 67.89°, β = 67.89°, γ = 60.00°
Sites, in units of the cell vectors:
Zn1 0.071 0.071 0.787
Zn2 0.269 0.269 0.194
Sb1 0.489 0.489 0.532
Au1 0.671 0.671 0.987

Density ... 8.94 Mg/m³
Space group ... No. 160
Energy relative to the elements, uncorrected ... -0.7 kJ per mole of atoms
Magnetic moment ... 0.0 μB/f.u.

---

Entry 3:
A plane-wave DFT calculation with GGA-PBE was carried out for a relaxed structure of Zn2SbAu.

a = 4.344 Å, b = 4.344 Å, c = 4.348 Å
α = 79.76°, β = 79.76°, γ = 94.68°
Sites, in units of the cell vectors:
Au1 0.500 0.000 0.500
Sb1 0.000 0.500 0.500
Zn1 0.000 0.000 0.000
Zn2 0.500 0.500 0.000

Density ... 9.46 Mg/m³
Space group ... No. 12
Energy relative to the elements, uncorrected ... 5.0 kJ per mole of atoms
Magnetic moment ... 0.0 μB/f.u.

---

Entry 4:
A plane-wave DFT calculation with GGA-PBE was carried out for a relaxed structure of Zn2Sb2Au.

a = 4.413 Å, b = 4.413 Å, c = 6.799 Å
α = 71.06°, β = 71.06°, γ = 90.00°
Sites, in units of the cell vectors:
Sb1 0.750 0.250 0.500
Sb2 0.250 0.750 0.500
Zn1 0.403 0.403 0.194
Zn2 0.597 0.597 0.806
Au1 0.000 0.000 0.000

Density ... 8.06 Mg/m³
Space group ... No. 139
Energy relative to the elements, uncorrected ... 31.3 kJ per mole of atoms
Excess energy over the best structure of this formula in the dataset ... 192 meV per atom
Magnetic moment ... 0.0 μB/f.u.

---

Entry 5:
A plane-wave DFT calculation with GGA-PBE was carried out for a relaxed structure of ZnSb2Au.

a = 3.990 Å, b = 5.604 Å, c = 4.140 Å
α = 90.00°, β = 90.00°, γ = 90.00°
Sites, in units of the cell vectors:
Au1 0.000 0.500 0.500
Sb1 0.000 0.000 0.000
Sb2 0.500 0.500 0.000
Zn1 0.500 0.000 0.500

Density ... 9.08 Mg/m³
Space group ... No. 47
Energy relative to the elements, uncorrected ... 15.1 kJ per mole of atoms
Magnetic moment ... 0.0 μB/f.u.

---

Entry 6:
A plane-wave DFT calculation with GGA-PBE was carried out for a relaxed structure of Zn2SbAu.

a = 4.014 Å, b = 4.205 Å, c = 5.157 Å
α = 74.39°, β = 90.00°, γ = 90.00°
Sites, in units of the cell vectors:
Au1 0.500 0.250 0.250
Sb1 0.500 0.750 0.750
Zn1 0.000 0.036 0.010
Zn2 0.000 0.464 0.490

Density ... 8.90 Mg/m³
Space group ... No. 10
Energy relative to the elements, uncorrected ... 4.1 kJ per mole of atoms
Magnetic moment ... 0.0 μB/f.u.

---

Calculated values (states/eV/f.u.) of density of states at the Fermi level for the records, taken in order: 1.4, 1.8, 1.4, 1.8, 1.9, 1.0.